Compound: NiSbP2
Source: Alexandria via LeMat-Bulk
Functional: SCAN
Structure: PBEsol geometry

Results
Symmetry: P4/mmm
Uncorrected formation energy, meV per atom: 293

Structure (POSCAR):
```
NiSbP2
1.0
3.173 0.000 0.000
0.000 3.173 0.000
0.000 0.000 6.365
P Sb Ni
2 1 1
Direct
0.000 0.000 0.331
0.000 0.000 0.669
0.500 0.500 0.000
0.500 0.500 0.500
```

=====

Compound: RbBeB2Cl
Source: Alexandria via LeMat-Bulk
Functional: SCAN
Structure: PBEsol geometry

Results
Symmetry: P4/mmm
Uncorrected formation energy, meV per atom: 2540

Structure (POSCAR):
```
RbBeB2Cl
1.0
5.675 0.000 0.000
0.000 5.418 0.000
0.000 0.000 5.418
Rb Be B Cl
1 1 2 1
Direct
0.000 0.000 0.000
0.500 0.500 0.500
0.000 0.000 0.500
0.000 0.500 0.000
0.500 0.000 0.000
```

=====

Compound: Mg2Sn2Hg
Source: Alexandria via LeMat-Bulk
Functional: SCAN
Structure: PBEsol geometry

Results
Symmetry: P4/mbm
Energy relative to the elements, meV/atom: -70

Structure (POSCAR):
```
Mg2Sn2Hg
1.0
-0.486 0.297 3.017
2.107 -8.576 1.184
8.542 2.258 1.154
Hg Mg Sn
2 4 4
Direct
0.000 0.500 0.500
0.000 0.000 0.000
0.500 0.861 0.361
0.500 0.139 0.639
0.500 0.361 0.139
0.500 0.639 0.861
0.000 0.160 0.340
0.000 0.660 0.160
0.000 0.340 0.840
0.000 0.840 0.660
```

=====

Compound: Li3CaFe
Source: Alexandria via LeMat-Bulk
Functional: SCAN
Structure: PBEsol geometry

Results
Symmetry: Pm-3m
Energy relative to the elements, meV/atom: 427

Structure (POSCAR):
```
Li3CaFe
1.0
-3.169 3.628 -0.504
-0.751 -1.296 -4.606
-3.585 -2.935 1.411
Fe Li Ca
1 3 1
Direct
0.000 0.000 0.000
0.000 0.000 0.500
0.500 0.000 0.000
0.000 0.500 0.000
0.500 0.500 0.500
```

=====

Compound: NbAs3Cl
Source: Alexandria via LeMat-Bulk
Functional: SCAN
Structure: PBEsol geometry

Results
Symmetry: Pm-3m
Uncorrected formation energy, meV per atom: 1127

Structure (POSCAR):
```
NbAs3Cl
1.0
-2.699 3.684 0.949
-3.427 -1.848 -2.569
-1.653 -2.184 3.776
Nb Cl As
1 1 3
Direct
0.500 0.500 0.500
0.000 0.000 0.000
0.000 0.000 0.500
0.500 0.000 0.000
0.000 0.500 0.000
```

=====

Compound: K2AlHg
Source: Alexandria via LeMat-Bulk
Functional: SCAN
Structure: PBEsol geometry

Results
Symmetry: P4/mmm
Energy relative to the elements, meV/atom: 155
E above lowest polymorph, meV per atom: 237.1

Structure (POSCAR):
```
K2AlHg
1.0
3.502 0.000 0.000
0.000 3.502 0.000
0.000 0.000 10.371
K Hg Al
2 1 1
Direct
0.000 0.000 0.747
0.000 0.000 0.253
0.500 0.500 0.500
0.500 0.500 0.000
```

=====

Compound: Re3PbS6
Source: Alexandria via LeMat-Bulk
Functional: SCAN
Structure: PBEsol geometry

Results
Symmetry: Cc
Uncorrected formation energy, meV per atom: -533

Structure (POSCAR):
```
Re3PbS6
1.0
9.303 0.066 -0.067
4.516 8.133 -0.067
0.098 0.058 11.670
S Re Pb
24 12 4
Direct
0.456 0.268 0.312
0.544 0.748 0.687
0.748 0.544 0.187
0.958 0.974 0.924
0.427 0.724 0.978
0.974 0.958 0.424
0.011 0.048 0.579
0.393 0.936 0.225
0.724 0.427 0.478
0.296 0.198 0.579
0.760 0.912 0.172
0.936 0.393 0.725
0.083 0.237 0.334
0.268 0.456 0.812
0.198 0.296 0.079
0.801 0.696 0.929
0.912 0.760 0.672
0.571 0.274 0.024
0.048 0.011 0.079
0.063 0.605 0.281
0.696 0.801 0.429
0.605 0.063 0.781
0.237 0.083 0.834
0.274 0.571 0.524
0.196 0.393 0.421
0.986 0.699 0.474
0.604 0.801 0.084
0.521 0.883 0.867
0.699 0.986 0.974
0.010 0.299 0.531
0.393 0.196 0.921
0.883 0.521 0.367
0.114 0.477 0.636
0.299 0.010 0.031
0.477 0.114 0.136
0.801 0.604 0.584
0.647 0.122 0.503
0.122 0.647 0.003
0.768 0.255 0.222
0.255 0.768 0.722
```

=====

Compound: BeCdMo2
Source: Alexandria via LeMat-Bulk
Functional: SCAN
Structure: PBEsol geometry

Results
Symmetry: Pmmm
Energy relative to the elements, meV/atom: 358
E above lowest polymorph, meV per atom: 104.0

Structure (POSCAR):
```
BeCdMo2
1.0
-0.526 -0.557 -3.353
-1.118 -3.671 0.785
-4.135 1.350 0.424
Mo Cd Be
2 1 1
Direct
0.000 0.000 0.000
0.500 0.500 0.000
0.000 0.500 0.500
0.500 0.000 0.500
```

=====

Compound: TeBrN2F
Source: Alexandria via LeMat-Bulk
Functional: SCAN
Structure: PBEsol geometry

Results
Symmetry: P4/mmm
E above lowest polymorph, meV per atom: 689.8
Uncorrected formation energy, meV per atom: 1693

Structure (POSCAR):
```
TeBrN2F
1.0
-1.683 -2.251 -3.066
-2.704 -1.570 2.637
-2.585 3.060 -0.828
N Br F Te
2 1 1 1
Direct
0.000 0.000 0.500
0.000 0.500 0.000
0.000 0.000 0.000
0.500 0.000 0.000
0.500 0.500 0.500
```

=====

Compound: Ta2SiN
Source: Alexandria via LeMat-Bulk
Functional: SCAN
Structure: PBEsol geometry

Results
Symmetry: I-42d
Uncorrected formation energy, meV per atom: -63

Structure (POSCAR):
```
Ta2SiN
1.0
-0.010 -4.201 -2.859
-0.418 -2.848 4.188
-5.088 3.780 -1.020
N Ta Si
2 4 2
Direct
0.750 0.250 0.500
0.500 0.500 0.000
0.625 0.539 0.750
0.125 0.211 0.750
0.461 0.875 0.250
0.789 0.375 0.250
0.250 0.750 0.500
0.000 0.000 0.000
```

=====

Compound: MgOs2
Source: Alexandria via LeMat-Bulk
Functional: SCAN
Structure: PBEsol geometry

Results
Symmetry: I4/mcm
Energy relative to the elements, meV/atom: 763

Structure (POSCAR):
```
MgOs2
1.0
-2.708 -3.578 -1.104
0.875 -4.323 2.194
-4.085 -0.712 2.659
Mg Os
2 4
Direct
0.250 0.000 0.000
0.750 0.000 0.000
0.640 0.500 0.220
0.860 0.780 0.500
0.140 0.220 0.500
0.360 0.500 0.780
```

=====

Compound: MgTaAs
Source: Alexandria via LeMat-Bulk
Functional: SCAN
Structure: PBEsol geometry

Results
Symmetry: I4mm
Energy relative to the elements, meV/atom: -104
E above lowest polymorph, meV per atom: 0.0

Structure (POSCAR):
```
MgTaAs
1.0
-1.401 -0.963 2.820
-1.226 -2.654 -1.515
5.382 -0.731 0.501
Ta As Mg
1 1 1
Direct
0.644 0.644 0.287
0.020 0.020 0.040
0.337 0.337 0.673
```

=====

Compound: CaY2As
Source: Alexandria via LeMat-Bulk
Functional: SCAN
Structure: PBEsol geometry

Results
Symmetry: R-3m
Energy relative to the elements, meV/atom: -768

Structure (POSCAR):
```
CaY2As
1.0
-0.649 1.807 3.404
-2.414 -1.593 2.629
6.339 -4.638 5.916
Y As Ca
2 1 1
Direct
0.224 0.224 0.329
0.776 0.776 0.671
0.500 0.500 0.500
0.000 0.000 0.000
```

=====

Compound: Pr3CuGeS7
Source: Alexandria via LeMat-Bulk
Functional: SCAN
Structure: PBEsol geometry

Results
Symmetry: P6_3
Uncorrected formation energy, meV per atom: -1694

Structure (POSCAR):
```
Pr3CuGeS7
1.0
5.779 0.000 0.000
0.000 10.129 0.000
0.000 -5.065 8.772
Pr S Ge Cu
6 14 2 2
Direct
0.250 0.872 0.229
0.750 0.229 0.357
0.250 0.771 0.643
0.750 0.128 0.771
0.750 0.643 0.872
0.250 0.357 0.128
0.516 0.897 0.480
0.547 0.333 0.667
0.047 0.667 0.333
0.516 0.520 0.417
0.516 0.583 0.103
0.016 0.480 0.583
0.264 0.162 0.252
0.016 0.417 0.897
0.264 0.090 0.838
0.764 0.838 0.748
0.764 0.252 0.090
0.264 0.748 0.910
0.764 0.910 0.162
0.016 0.103 0.520
0.669 0.667 0.333
0.169 0.333 0.667
0.774 0.000 0.000
0.274 0.000 0.000
```

=====

Compound: MgTlTc2Ag
Source: Alexandria via LeMat-Bulk
Functional: SCAN
Structure: PBEsol geometry

Results
Symmetry: P4/mmm
Energy relative to the elements, meV/atom: 1799

Structure (POSCAR):
```
MgTlTc2Ag
1.0
-4.106 1.981 1.972
1.782 -0.903 4.618
2.200 4.525 0.036
Tc Tl Mg Ag
2 1 1 1
Direct
0.000 0.500 0.000
0.000 0.000 0.500
0.000 0.000 0.000
0.500 0.000 0.000
0.500 0.500 0.500
```

=====

Compound: Al2BiPb2
Source: Alexandria via LeMat-Bulk
Functional: SCAN
Structure: PBEsol geometry

Results
Symmetry: I4/mmm
Energy relative to the elements, meV/atom: 212

Structure (POSCAR):
```
Al2BiPb2
1.0
-3.567 -0.242 1.462
-0.591 -3.261 -1.982
5.175 -2.930 7.040
Al Bi Pb
2 1 2
Direct
0.250 0.750 0.500
0.750 0.250 0.500
0.000 0.000 0.000
0.387 0.387 0.774
0.613 0.613 0.226
```

=====

Compound: MgV3O8
Source: Alexandria via LeMat-Bulk
Functional: SCAN
Structure: PBEsol geometry

Results
Symmetry: C2/c
Uncorrected formation energy, meV per atom: -2674

Structure (POSCAR):
```
MgV3O8
1.0
-3.690 -3.381 4.469
4.725 -2.195 4.229
-1.095 9.692 9.523
O V Mg
32 12 4
Direct
0.307 0.191 0.987
0.984 0.174 0.146
0.244 0.084 0.317
0.656 0.166 0.839
0.166 0.656 0.339
0.826 0.016 0.354
0.799 0.334 0.979
0.661 0.498 0.154
0.191 0.307 0.487
0.344 0.834 0.161
0.502 0.339 0.346
0.334 0.799 0.479
0.339 0.502 0.846
0.693 0.809 0.013
0.084 0.244 0.817
0.596 0.089 0.145
0.174 0.984 0.646
0.916 0.756 0.183
0.809 0.693 0.513
0.201 0.666 0.021
0.244 0.425 0.197
0.756 0.916 0.683
0.756 0.575 0.803
0.425 0.244 0.697
0.016 0.826 0.854
0.089 0.596 0.645
0.666 0.201 0.521
0.498 0.661 0.654
0.911 0.404 0.355
0.575 0.756 0.303
0.834 0.344 0.661
0.404 0.911 0.855
0.651 0.789 0.135
0.330 0.826 0.352
0.757 0.271 0.112
0.670 0.174 0.648
0.789 0.651 0.635
0.349 0.211 0.865
0.243 0.729 0.888
0.211 0.349 0.365
0.729 0.243 0.388
0.174 0.670 0.148
0.826 0.330 0.852
0.271 0.757 0.612
0.717 0.850 0.853
0.283 0.150 0.147
0.850 0.717 0.353
0.150 0.283 0.647
```

=====

Compound: RbLa3Rh
Source: Alexandria via LeMat-Bulk
Functional: SCAN
Structure: PBEsol geometry

Results
Symmetry: Pm-3m
Energy relative to the elements, meV/atom: 1428

Structure (POSCAR):
```
RbLa3Rh
1.0
-2.143 -3.601 -3.423
4.838 -0.667 -2.327
1.127 -3.983 3.484
La Rb Rh
3 1 1
Direct
0.500 0.000 0.000
0.000 0.000 0.500
0.000 0.500 0.000
0.000 0.000 0.000
0.500 0.500 0.500
```

=====

Compound: MgSiBr2
Source: Alexandria via LeMat-Bulk
Functional: SCAN
Structure: PBEsol geometry

Results
Symmetry: P4mm
E above lowest polymorph, meV per atom: 103.5
Uncorrected formation energy, meV per atom: -235

Structure (POSCAR):
```
MgSiBr2
1.0
-1.716 -1.541 -2.367
2.077 -2.565 0.164
-4.739 -3.473 5.695
Br Si Mg
2 1 1
Direct
0.000 0.000 0.937
0.500 0.500 0.327
0.500 0.500 0.727
0.000 0.000 0.510
```

=====

Compound: Ti3NbN
Source: Alexandria via LeMat-Bulk
Functional: SCAN
Structure: PBEsol geometry

Results
Symmetry: Pm-3m
Uncorrected formation energy, meV per atom: -842

Structure (POSCAR):
```
Ti3NbN
1.0
4.135 0.000 0.000
0.000 4.135 0.000
0.000 0.000 4.135
Ti N Nb
3 1 1
Direct
0.000 0.500 0.000
0.000 0.000 0.500
0.500 0.000 0.000
0.000 0.000 0.000
0.500 0.500 0.500
```

=====

Compound: Zn7Cd
Source: Alexandria via LeMat-Bulk
Functional: SCAN
Structure: PBEsol geometry

Results
Symmetry: Fm-3m
Energy relative to the elements, meV/atom: 89

Structure (POSCAR):
```
Zn7Cd
1.0
-0.442 0.918 5.450
3.815 -2.033 3.472
3.550 3.425 2.532
Cd Zn
1 7
Direct
0.000 0.000 0.000
0.000 0.000 0.500
0.500 0.500 0.000
0.500 0.500 0.500
0.500 0.000 0.000
0.000 0.500 0.000
0.500 0.000 0.500
0.000 0.500 0.500
```

=====

Number 1: uncorrected energy -1.3424 Ry/atom. Number 2: uncorrected energy -0.5179 Ry/atom. Number 3: uncorrected energy -2.2095 Ry/atom. Number 4: uncorrected energy -0.4826 Ry/atom. Number 5: uncorrected energy -1.4118 Ry/atom. Number 6: uncorrected energy -1.6896 Ry/atom. Number 7: uncorrected energy -2.5884 Ry/atom. Number 8: uncorrected energy -1.8946 Ry/atom. Number 9: uncorrected energy -1.0344 Ry/atom. Number 10: uncorrected energy -2.8063 Ry/atom. Number 11: uncorrected energy -3.5878 Ry/atom. Number 12: uncorrected energy -2.2554 Ry/atom. Number 13: uncorrected energy -1.6282 Ry/atom. Number 14: uncorrected energy -1.5434 Ry/atom. Number 15: uncorrected energy -2.4963 Ry/atom. Number 16: uncorrected energy -3.5953 Ry/atom. Number 17: uncorrected energy -0.8536 Ry/atom. Number 18: uncorrected energy -2.5973 Ry/atom. Number 19: uncorrected energy -1.0078 Ry/atom. Number 20: uncorrected energy -1.3924 Ry/atom. Number 21: uncorrected energy -1.1421 Ry/atom.